Entry 1:
The following is a DFT calculation (PBE-GGA) of a relaxed MnCuAu2 crystal.

```
data_MnCuAu2
_chemical_formula_sum 'Mn2 Cu2 Au4'
_cell_length_a 2.784
_cell_length_b 4.791
_cell_length_c 10.588
_cell_angle_alpha 90.00
_cell_angle_beta 90.00
_cell_angle_gamma 90.00
_space_group_name_H-M_alt 'I m m m'
_space_group_IT_number 71
_space_group_name_Hall '-I 2 2'
loop_
_atom_site_label
_atom_site_fract_x
_atom_site_fract_y
_atom_site_fract_z
_atom_site_occupancy
Mn1 0.000 0.000 0.000 1
Cu1 0.000 0.000 0.500 1
Au1 0.000 0.000 0.255 1
```


Entry 2:
The following is a DFT calculation (PBE-GGA) of a relaxed MnCuAu crystal.

```
data_MnCuAu
_chemical_formula_sum 'Mn1 Cu1 Au1'
_cell_length_a 4.3568
_cell_length_b 4.3568
_cell_length_c 2.7407
_cell_angle_alpha 90.00
_cell_angle_beta 90.00
_cell_angle_gamma 120.00
_space_group_name_H-M_alt 'P 3 m 1'
_space_group_IT_number 156
loop_
_space_group_symop_operation_xyz
'x,y,z'
'-y,x-y,z'
'-x+y,-x,z'
'-y,-x,z'
'-x+y,y,z'
'x,x-y,z'
loop_
_atom_site_label
_atom_site_fract_x
_atom_site_fract_y
_atom_site_fract_z
_atom_site_occupancy
Mn1 0.0000 0.0000 0.0000 1
Cu1 0.3333 0.6667 0.7291 1
Au1 0.6667 0.3333 0.3970 1
```


DOS(E_F) across the listed records, respectively: 5.7, 1.5 states/eV per cell.
Calculated volume across the listed records, respectively: 141.2, 45.1 Å³ per cell.
Uncorrected energy across the listed records, respectively: -36.85, -16.28 eV for the cell shown.